DFT (PBE) results for a relaxed structure of CeEr4In.

POSCAR file:
```
CeEr4In
1.0
2.396 -7.317 0.000
2.396 7.317 0.000
0.000 0.000 9.853
Ce Er In
2 8 2
Direct
0.168 0.832 0.500
0.832 0.168 0.000
0.005 0.995 0.757
0.168 0.832 0.014
0.325 0.675 0.761
0.500 0.500 0.008
0.500 0.500 0.508
0.675 0.325 0.261
0.832 0.168 0.514
0.995 0.005 0.257
0.336 0.664 0.259
0.664 0.336 0.759
```

Computed properties:
**Formation energy**: -0.10 eV per atom
**SG**: Cmc2_1, No. 36
**Volume**: 172.74 Å³/f.u.